This record from Alexandria via LeMat-Bulk describes an optimized crystal structure of Dy2TmSc8. The functional is PBE-GGA.

abc: 5.4925 8.6714 9.0736
angles: 61.46 72.63 51.35
Last column: nearest neighbours and their distance in Å.
Fractional positions:
1 Sc 0.2543 0.4870 0.0000  2 Sc 2.66-2.85
2 Sc 0.2185 0.6498 0.2534  6 Sc 3.03-3.37, 1 Dy 3.28
3 Sc 0.5000 0.2020 0.5961  1 Tm 3.22, 4 Dy 3.23-3.39, 6 Sc 3.31-3.37
4 Sc 0.7815 0.3502 0.7466  6 Sc 3.03-3.37, 1 Dy 3.28
5 Sc 0.2185 0.9032 0.7466  6 Sc 3.03-3.37, 1 Dy 3.28
6 Sc 0.5000 0.7980 0.4039  1 Tm 3.22, 4 Dy 3.23-3.39, 6 Sc 3.31-3.37
7 Sc 0.7815 0.0968 0.2534  6 Sc 3.03-3.37, 1 Dy 3.28
8 Sc 0.7457 0.5130 0.0000  2 Sc 2.66-2.85
9 Tm 0.5000 0.0000 0.0000  4 Sc 3.22-3.54
10 Dy 0.0000 0.3090 0.3820  12 Sc 3.23-3.52
11 Dy 0.0000 0.6910 0.6180  12 Sc 3.23-3.52

- Formation energy from the elements: 0.143 eV per atom


This record from Alexandria via LeMat-Bulk describes an optimized crystal structure of Sb3PtW. The functional is PBE-GGA.

abc: 5.1788 5.1788 5.1788
angles: 90.00 90.00 90.00
Last column: nearest neighbours and their distance in Å.
Fractional positions:
1 Pt 0.0000 0.0000 0.0000  6 Sb 2.59
2 W 0.5000 0.5000 0.5000  12 Sb 3.66
3 Sb 0.0000 0.0000 0.5000  2 Pt 2.59
4 Sb 0.5000 0.0000 0.0000  2 Pt 2.59
5 Sb 0.0000 0.5000 0.0000  2 Pt 2.59


This record from Alexandria via LeMat-Bulk describes an optimized crystal structure of TiCr2SnAs. The functional is PBE-GGA.

abc: 4.9857 5.1488 4.9857
angles: 90.00 90.00 90.00
Last column: nearest neighbours and their distance in Å.
Fractional positions:
1 Cr 0.0000 0.0000 0.5000  2 Sn 2.49
2 Cr 0.5000 0.0000 0.0000  2 Sn 2.49
3 Ti 0.0000 0.5000 0.0000  2 Sn 2.57
4 Sn 0.0000 0.0000 0.0000  4 Cr 2.49, 2 Ti 2.57
5 As 0.5000 0.5000 0.5000  4 Ti 3.53, 8 Cr 3.58

- Formation energy from the elements: 1.159 eV per atom


This record from Alexandria via LeMat-Bulk describes an optimized crystal structure of Ir3Os2Pt. The functional is PBE-GGA.

abc: 2.7512 7.2940 8.9168
angles: 90.00 90.00 100.87
Last column: nearest neighbours and their distance in Å.
Fractional positions:
1 Ir 0.6618 0.3237 0.5025  3 Os 2.70-2.73, 6 Ir 2.71-2.88, 3 Pt 2.77-2.78
2 Ir 0.1076 0.2152 0.7500  4 Os 2.70-2.71, 6 Ir 2.71-2.75, 2 Pt 2.82
3 Ir 0.3382 0.6763 0.4975  3 Os 2.70-2.73, 6 Ir 2.71-2.88, 3 Pt 2.77-2.78
4 Ir 0.3382 0.6763 0.0025  3 Os 2.70-2.73, 6 Ir 2.71-2.88, 3 Pt 2.77-2.78
5 Ir 0.8924 0.7848 0.2500  4 Os 2.70-2.71, 6 Ir 2.71-2.75, 2 Pt 2.82
6 Ir 0.6618 0.3237 0.9975  3 Os 2.70-2.73, 6 Ir 2.71-2.88, 3 Pt 2.77-2.78
7 Os 0.5542 0.1084 0.2500  4 Ir 2.70-2.73, 6 Os 2.73-2.75, 2 Pt 2.75
8 Os 0.0000 0.0000 0.5000  6 Ir 2.70-2.71, 6 Os 2.73-2.75
9 Os 0.4458 0.8916 0.7500  4 Ir 2.70-2.73, 6 Os 2.73-2.75, 2 Pt 2.75
10 Os 0.0000 0.0000 0.0000  6 Ir 2.70-2.71, 6 Os 2.73-2.75
11 Pt 0.2207 0.4414 0.2500  2 Pt 2.75, 2 Os 2.75, 8 Ir 2.77-2.82
12 Pt 0.7793 0.5586 0.7500  2 Pt 2.75, 2 Os 2.75, 8 Ir 2.77-2.82

- Formation energy from the elements: 0.057 eV per atom


This record from Alexandria via LeMat-Bulk describes an optimized crystal structure of Ce4AuCl4. The functional is PBE-GGA.

abc: 5.6499 7.0212 7.0179
angles: 80.60 66.22 66.22
Last column: nearest neighbours and their distance in Å.
Fractional positions:
1 Cl 0.3956 0.3851 0.8238  5 Ce 2.85-2.92
2 Cl 0.2192 0.1765 0.3853  5 Ce 2.85-2.92
3 Cl 0.6044 0.6149 0.1762  5 Ce 2.85-2.92
4 Cl 0.7808 0.8235 0.6147  5 Ce 2.85-2.92
5 Au 0.0000 0.0000 0.0000  4 Ce 3.00
6 Ce 0.9078 0.4094 0.7751  5 Cl 2.85-2.92, 1 Au 3.00
7 Ce 0.3173 0.7749 0.5904  5 Cl 2.85-2.92, 1 Au 3.00
8 Ce 0.6827 0.2251 0.4096  5 Cl 2.85-2.92, 1 Au 3.00
9 Ce 0.0922 0.5906 0.2249  5 Cl 2.85-2.92, 1 Au 3.00


This record from Alexandria via LeMat-Bulk describes an optimized crystal structure of GaAuI. The functional is PBE-GGA.

abc: 5.2147 5.2150 6.6295
angles: 91.60 91.60 107.17
Last column: nearest neighbours and their distance in Å.
Fractional positions:
1 Ga 0.7348 0.2348 0.0480  4 Au 2.61-2.65, 1 I 2.80
2 Ga 0.2652 0.7652 0.9520  4 Au 2.61-2.65, 1 I 2.80
3 I 0.2515 0.7515 0.5291  1 Ga 2.80, 2 I 3.12
4 I 0.7485 0.2485 0.4709  1 Ga 2.80, 2 I 3.12
5 Au 0.7621 0.7379 0.0000  4 Ga 2.61-2.65
6 Au 0.2379 0.2621 0.0000  4 Ga 2.61-2.65


This record from Alexandria via LeMat-Bulk describes an optimized crystal structure of LiNd2AlAu6. The functional is PBE-GGA.

abc: 5.5817 8.6688 6.9559
angles: 50.11 66.35 90.00
Last column: nearest neighbours and their distance in Å.
Fractional positions:
1 Au 0.2699 0.7696 0.9610  1 Li 2.58, 1 Al 2.59, 2 Au 2.79
2 Au 0.7464 0.6019 0.5077  1 Li 2.60, 1 Al 2.60
3 Au 0.7301 0.2304 0.0390  1 Li 2.58, 1 Al 2.59, 2 Au 2.79
4 Au 0.2308 0.2306 0.0390  1 Li 2.58, 1 Al 2.59, 2 Au 2.79
5 Au 0.2536 0.3981 0.4923  1 Li 2.60, 1 Al 2.60
6 Au 0.7692 0.7694 0.9610  1 Li 2.58, 1 Al 2.59, 2 Au 2.79
7 Nd 0.7509 0.2211 0.4974  7 Au 3.13-3.35
8 Nd 0.2491 0.7789 0.5026  7 Au 3.13-3.35
9 Al 0.0000 0.0000 0.0000  6 Au 2.59-2.60
10 Li 0.5000 0.5000 0.0000  6 Au 2.58-2.60

- Formation energy from the elements: -0.523 eV per atom


This record from Alexandria via LeMat-Bulk describes an optimized crystal structure of CaLaSmTl. The functional is PBE-GGA.

abc: 5.6701 5.6701 5.6701
angles: 60.00 60.00 60.00
Last column: nearest neighbours and their distance in Å.
Fractional positions:
1 Ca 0.5000 0.5000 0.5000  4 La 3.47, 4 Sm 3.47
2 Tl 0.0000 0.0000 0.0000  4 La 3.47, 4 Sm 3.47
3 Sm 0.2500 0.2500 0.2500  4 Tl 3.47, 4 Ca 3.47
4 La 0.7500 0.7500 0.7500  4 Tl 3.47, 4 Ca 3.47

- Formation energy from the elements: -0.119 eV per atom


Calculated total energy
In order: -5.705 -5.004 -6.000 -9.124 -5.088 -2.738 -4.008 -3.623
Unit: eV per atom